A geometry-optimized CoCuHg2Se structure. Source: Alexandria, functional PBE-GGA.

a b c (Å): 4.991 4.556 4.991
angles (deg): 90.00 90.00 90.00
Last column: magnetic moment on the atom in μB.
Sites, in units of the cell vectors:
Co1 0.000 0.000 0.000  1.40
Cu1 0.000 0.500 0.000  0.17
Hg1 0.500 0.000 0.000  0.03
Hg2 0.000 0.000 0.500  0.00
Se1 0.500 0.500 0.500  0.18

**Space-group type**: No. 123
**Volume**: 22.7 Å³ per atom
**Formation energy without anion corrections**: 0.746 eV/atom